[1]
Computed, not measured: a relaxed structure of Rb2MnF6 at the GGA+U level of DFT.

- Size of the total moment: 0.369 μB per atom
- Electronic total energy: -176.62 eV for the cell shown
- DOS(E_F): 0.000 states/eV/atom

Geometry as CIF:
```
data_Rb2MnF6
_space_group_name_H-M_alt 'F m -3 m'
_space_group_IT_number 225
_space_group_name_Hall '-F 4 2 3'
_cell_length_a 8.688
_cell_length_b 8.688
_cell_length_c 8.688
_cell_angle_alpha 90.00
_cell_angle_beta 90.00
_cell_angle_gamma 90.00
loop_
_atom_site_label
_atom_site_fract_x
_atom_site_fract_y
_atom_site_fract_z
Rb1 0.250 0.250 0.250
Mn1 0.000 0.000 0.000
F1 0.000 0.000 0.213
```

***

[2]
Computed, not measured: a relaxed structure of Rb2MnF7 at the GGA+U level of DFT.

- Size of the total moment: 0.200 μB per atom
- Electronic total energy: -89.96 eV for the cell shown
- DOS(E_F): 0.000 states/eV/atom

Geometry as CIF:
```
data_Rb2MnF7
_space_group_name_H-M_alt 'I 4/m m m'
_space_group_IT_number 139
_space_group_name_Hall '-I 4 2'
_cell_length_a 6.475
_cell_length_b 6.475
_cell_length_c 8.258
_cell_angle_alpha 90.00
_cell_angle_beta 90.00
_cell_angle_gamma 90.00
loop_
_atom_site_label
_atom_site_fract_x
_atom_site_fract_y
_atom_site_fract_z
Rb1 0.000 0.500 0.250
Mn1 0.000 0.000 0.000
F1 0.000 0.000 0.225
F2 0.000 0.000 0.500
F3 0.201 0.201 0.000
```

***

[3]
Computed, not measured: a relaxed structure of Rb3MnF5 at the GGA+U level of DFT.

- Size of the total moment: 0.546 μB per atom
- Electronic total energy: -174.73 eV for the cell shown
- DOS(E_F): 0.000 states/eV/atom

Geometry as CIF:
```
data_Rb3MnF5
_space_group_name_H-M_alt 'I 4/m c m'
_space_group_IT_number 140
_space_group_name_Hall '-I 4 2c'
_cell_length_a 7.648
_cell_length_b 7.648
_cell_length_c 12.921
_cell_angle_alpha 90.00
_cell_angle_beta 90.00
_cell_angle_gamma 90.00
loop_
_atom_site_label
_atom_site_fract_x
_atom_site_fract_y
_atom_site_fract_z
Rb1 0.000 0.000 0.250
Rb2 0.179 0.321 0.000
Mn1 0.000 0.500 0.250
F1 0.000 0.000 0.000
F2 0.144 0.356 0.347
```

***

no.,calculated volume (Å³ per cell)
1,656
2,346
3,756